Record 1
{"formula": "CeThNi2", "functional": "PBE", "state": "relaxed", "cell": [[3.441, 0.000, 0.000], [0.000, 3.441, 0.000], [0.000, 0.000, 6.928]], "species": ["Ce", "Th", "Ni", "Ni"], "fractional_positions": [[0.000, 0.000, 0.000], [0.000, 0.000, 0.500], [0.500, 0.500, 0.230], [0.500, 0.500, 0.770]], "de_polymorph_mev_per_atom": 129, "e_form_ev_per_atom": -0.24, "total_energy_ev_per_cell": -25.88, "dos_at_fermi_per_ev_fu": 5.99, "volume_a3_per_cell": 82.0}



Record 2
{"formula": "CeThNi4", "functional": "PBE", "state": "relaxed", "cell": [[0.000, 3.627, 3.627], [3.627, 0.000, 3.627], [3.627, 3.627, 0.000]], "species": ["Ce", "Th", "Ni", "Ni", "Ni", "Ni"], "fractional_positions": [[0.000, 0.000, 0.000], [0.750, 0.750, 0.750], [0.375, 0.375, 0.375], [0.375, 0.375, 0.876], [0.375, 0.876, 0.375], [0.876, 0.375, 0.375]], "de_polymorph_mev_per_atom": 0, "e_form_ev_per_atom": -0.37, "total_energy_ev_per_cell": -38.71, "dos_at_fermi_per_ev_fu": 7.31, "volume_a3_per_cell": 95.4}



Record 3
{"formula": "Ce3ThNi8", "functional": "PBE", "state": "relaxed", "cell": [[5.056, 0.000, 0.000], [-2.528, 4.379, 0.000], [0.000, 0.000, 8.516]], "species": ["Ce", "Ce", "Ce", "Th", "Ni", "Ni", "Ni", "Ni", "Ni", "Ni", "Ni", "Ni"], "fractional_positions": [[0.000, 0.000, 0.000], [0.000, 0.000, 0.382], [0.333, 0.667, 0.908], [0.333, 0.667, 0.520], [0.340, 0.170, 0.704], [0.504, 0.008, 0.204], [0.504, 0.496, 0.204], [0.667, 0.333, 0.453], [0.667, 0.333, 0.955], [0.830, 0.170, 0.704], [0.830, 0.660, 0.704], [0.992, 0.496, 0.204]], "e_form_ev_per_atom": -0.38, "total_energy_ev_per_cell": -76.00, "dos_at_fermi_per_ev_fu": 15.74, "volume_a3_per_cell": 188.5}



Record 4
{"formula": "Ce2Th2Ni15", "functional": "PBE", "state": "relaxed", "cell": [[4.261, 2.460, 4.288], [-4.261, 2.460, 4.288], [0.000, -4.921, 4.288]], "species": ["Ce", "Ce", "Th", "Th", "Ni", "Ni", "Ni", "Ni", "Ni", "Ni", "Ni", "Ni", "Ni", "Ni", "Ni", "Ni", "Ni", "Ni", "Ni"], "fractional_positions": [[0.106, 0.106, 0.106], [0.894, 0.894, 0.894], [0.358, 0.358, 0.358], [0.642, 0.642, 0.642], [0.000, 0.000, 0.500], [0.000, 0.319, 0.681], [0.000, 0.500, 0.000], [0.000, 0.681, 0.319], [0.167, 0.655, 0.655], [0.319, 0.000, 0.681], [0.319, 0.681, 0.000], [0.345, 0.345, 0.833], [0.345, 0.833, 0.345], [0.500, 0.000, 0.000], [0.655, 0.167, 0.655], [0.655, 0.655, 0.167], [0.681, 0.000, 0.319], [0.681, 0.319, 0.000], [0.833, 0.345, 0.345]], "e_form_ev_per_atom": -0.31, "total_energy_ev_per_cell": -119.35, "dos_at_fermi_per_ev_fu": 20.88, "volume_a3_per_cell": 269.8}



Record 5
{"formula": "CeThNi", "functional": "PBE", "state": "relaxed", "cell": [[3.564, 0.000, 0.000], [0.000, 3.564, 0.000], [0.000, 0.000, 11.261]], "species": ["Ce", "Ce", "Th", "Th", "Ni", "Ni"], "fractional_positions": [[0.000, 0.000, 0.000], [0.500, 0.500, 0.500], [0.000, 0.000, 0.281], [0.500, 0.500, 0.781], [0.000, 0.000, 0.655], [0.500, 0.500, 0.155]], "de_polymorph_mev_per_atom": 0, "e_form_ev_per_atom": -0.13, "total_energy_ev_per_cell": -39.07, "dos_at_fermi_per_ev_fu": 5.93, "volume_a3_per_cell": 143.1}



Record 6
{"formula": "Ce3ThNi8", "functional": "PBE", "state": "relaxed", "cell": [[2.555, 1.475, 8.332], [-2.555, 1.475, 8.332], [0.000, -2.950, 8.332]], "species": ["Ce", "Ce", "Ce", "Th", "Ni", "Ni", "Ni", "Ni", "Ni", "Ni", "Ni", "Ni"], "fractional_positions": [[0.000, 0.000, 0.000], [0.121, 0.121, 0.121], [0.634, 0.634, 0.634], [0.507, 0.507, 0.507], [0.067, 0.067, 0.562], [0.067, 0.562, 0.067], [0.069, 0.565, 0.565], [0.316, 0.316, 0.316], [0.562, 0.067, 0.067], [0.565, 0.069, 0.565], [0.565, 0.565, 0.069], [0.816, 0.816, 0.816]], "e_form_ev_per_atom": -0.38, "total_energy_ev_per_cell": -76.02, "dos_at_fermi_per_ev_fu": 15.98, "volume_a3_per_cell": 188.4}